1.
The following is a PBE calculation of Na2TaHgS4 after structural relaxation, from the Alexandria database.

abc: 6.1830 6.1830 12.1443
angles: 90.00 90.00 90.00
Space group I-4 (No. 82)
Asymmetric unit:
Na: 0.0000 0.0000 0.0000 x2
Na: 0.0000 0.5000 0.2500 x2
Ta: 0.0000 0.5000 0.7500 x2
Hg: 0.0000 0.0000 0.5000 x2
S: 0.2145 0.2854 0.6408 x8

* formation energy from raw total energies: -0.81 eV per atom
* calculated density: 3.98 Mg/m³

2.
The following is a PBE calculation of NaHg2TeS4 after structural relaxation, from the Alexandria database.

abc: 10.4976 12.3831 7.8136
angles: 90.00 127.22 90.00
Space group C2/c (No. 15)
Asymmetric unit:
Na: 0.2500 0.2500 0.0000 x4
Hg: 0.0000 0.0000 0.0000 x4
Hg: 0.2500 0.2500 0.5000 x4
Te: 0.0000 0.5000 0.0000 x4
S: 0.0369 0.2867 0.5249 x8
S: 0.2082 0.0257 0.8817 x8

* formation energy from raw total energies: -0.22 eV per atom
* calculated density: 5.58 Mg/m³

3.
The following is a PBE calculation of Na2ThHgS4 after structural relaxation, from the Alexandria database.

abc: 7.0106 4.0686 7.2483
angles: 90.00 111.38 90.00
Space group P2/m (No. 10)
Asymmetric unit:
Na: 0.0000 0.0000 0.0000 x1
Na: 0.5000 0.5000 0.0000 x1
Th: 0.0000 0.5000 0.5000 x1
Hg: 0.5000 0.0000 0.5000 x1
S: 0.2246 0.0000 0.7472 x2
S: 0.2618 0.5000 0.2830 x2

* formation energy from raw total energies: -1.21 eV per atom
* calculated density: 5.23 Mg/m³

4.
The following is a PBE calculation of NaTlHg2S4 after structural relaxation, from the Alexandria database.

abc: 8.6662 7.3773 6.9899
angles: 90.00 90.00 90.00
Space group Pmn2_1 (No. 31)
Asymmetric unit:
Na: 0.0000 0.1656 0.0000 x2
Tl: 0.0000 0.8194 0.4985 x2
Hg: 0.2483 0.3319 0.4962 x4
S: 0.0000 0.1572 0.3946 x2
S: 0.0000 0.8151 0.8681 x2
S: 0.2418 0.6613 0.3691 x4

* formation energy from raw total energies: -0.34 eV per atom
* calculated density: 5.62 Mg/m³

5.
The following is a PBE calculation of NaTlHgS2 after structural relaxation, from the Alexandria database.

abc: 15.8828 4.2322 8.9380
angles: 90.00 103.80 90.00
Space group C2/m (No. 12)
Asymmetric unit:
Na: 0.1562 0.0000 0.0258 x4
Tl: 0.2130 0.0000 0.6329 x4
Hg: 0.0041 0.5000 0.2540 x4
S: 0.0933 0.0000 0.2908 x4
S: 0.1574 0.5000 0.8259 x4

* formation energy from raw total energies: -0.48 eV per atom
* calculated density: 5.60 Mg/m³

6.
The following is a PBE calculation of NaTlHgS after structural relaxation, from the Alexandria database.

abc: 7.4408 7.4408 7.4408
angles: 90.00 90.00 90.00
Space group F-43m (No. 216)
Asymmetric unit:
Na: 0.0000 0.0000 0.0000 x4
Tl: 0.0000 0.0000 0.5000 x4
Hg: 0.2500 0.2500 0.2500 x4
S: 0.2500 0.2500 0.7500 x4

* formation energy from raw total energies: -0.38 eV per atom
* calculated density: 7.42 Mg/m³